Crystalline Th6Hg2C3 at its relaxed geometry. Source: the Alexandria database, functional PBE.

abc: 6.396 6.412 8.379
angles: 82.31 74.43 60.08
Fractional positions:
Th1 0.397 0.665 0.818
Th2 0.729 0.000 0.828
Th3 0.063 0.335 0.818
Th4 0.271 0.000 0.172
Th5 0.603 0.335 0.182
Th6 0.937 0.665 0.182
Hg1 0.158 0.685 0.500
Hg2 0.842 0.315 0.500
C1 0.000 0.000 0.000
C2 0.326 0.347 0.000
C3 0.674 0.653 0.000

Calculated values
Space group   No. 12
Crystal system   monoclinic
ΔE_f   -2.54 eV/f.u.

***

Crystalline CeDyOs4 at its relaxed geometry. Source: the Alexandria database, functional PBE.

abc: 5.382 5.382 5.382
angles: 60.00 60.00 60.00
Fractional positions:
Os1 0.625 0.625 0.125
Os2 0.625 0.125 0.625
Os3 0.625 0.625 0.625
Os4 0.125 0.625 0.625
Ce1 0.000 0.000 0.000
Dy1 0.250 0.250 0.250

Calculated values
Space group   No. 216
Crystal system   cubic
ΔE_f   -1.50 eV/f.u.

***

Crystalline InGaMo2Br at its relaxed geometry. Source: the Alexandria database, functional PBE.

abc: 4.729 5.174 4.729
angles: 90.00 90.00 90.00
Each line ends with the local moment (μB).
Fractional positions:
Mo1 0.000 0.000 0.500  1.25
Mo2 0.500 0.000 0.000  1.30
Ga1 0.000 0.500 0.000  0.00
Br1 0.000 0.000 0.000  0.01
In1 0.500 0.500 0.500  -0.04

Calculated values
Space group   No. 123
E_tot   -4.41 eV per atom
Crystal system   tetragonal

***

Crystalline KYSbBr2 at its relaxed geometry. Source: the Alexandria database, functional PBE.

abc: 5.468 6.792 5.468
angles: 90.00 90.00 90.00
Each line ends with the local moment (μB).
Fractional positions:
Y1 0.000 0.500 0.000  0.25
Sb1 0.500 0.500 0.500  0.19
K1 0.000 0.000 0.000  0.01
Br1 0.000 0.000 0.500  0.02
Br2 0.500 0.000 0.000  0.01

Calculated values
Space group   No. 123
E_tot   -2.90 eV per atom
Crystal system   tetragonal

***

Crystalline LiTb4Ir2 at its relaxed geometry. Source: the Alexandria database, functional PBE.

abc: 4.885 4.885 8.450
angles: 73.20 73.20 60.00
Fractional positions:
Li1 0.000 0.000 0.000
Tb1 0.872 0.872 0.384
Tb2 0.128 0.128 0.616
Tb3 0.621 0.621 0.136
Tb4 0.379 0.379 0.864
Ir1 0.748 0.748 0.757
Ir2 0.252 0.252 0.243

Calculated values
Space group   No. 166
E above lowest polymorph   0.000 eV per atom
Crystal system   trigonal
ΔE_f   -4.26 eV/f.u.

***

Crystalline Ta4GaSe8 at its relaxed geometry. Source: the Alexandria database, functional PBE.

abc: 7.002 7.002 8.684
angles: 90.00 113.78 120.00
Fractional positions:
Ta1 0.000 0.000 0.000
Ta2 0.000 0.500 0.000
Ta3 0.500 0.500 0.000
Ta4 0.500 0.000 0.000
Ga1 0.000 0.500 0.500
Se1 0.477 0.739 0.216
Se2 0.523 0.261 0.784
Se3 0.478 0.239 0.217
Se4 0.022 0.260 0.783
Se5 0.522 0.761 0.783
Se6 0.022 0.761 0.783
Se7 0.978 0.239 0.217
Se8 0.978 0.740 0.217

Calculated values
Space group   No. 166
E above lowest polymorph   0.054 eV per atom
Crystal system   trigonal

***

Number 1: N(E_F) 0.914 states/eV/atom. Number 2: N(E_F) 0.745 states/eV/atom. Number 3: N(E_F) 0.911 states/eV/atom. Number 4: N(E_F) 0.709 states/eV/atom. Number 5: N(E_F) 0.974 states/eV/atom. Number 6: N(E_F) 0.433 states/eV/atom.